(1)
Compound: NdSm2Zn2In2
Source: Alexandria
Functional: GGA-PBE
Structure: optimized geometry

Calculated values
ΔH_f (0 K) ... -2.11 eV per formula unit
DOS at the Fermi energy ... 3.5 states/eV per cell
Electronic total energy ... -3.48 eV per atom

The structure in extended XYZ format:
```
7
Lattice="-2.178 -0.890 -4.137 -1.945 -4.270 -0.795 -9.457 1.290 1.963" Properties=species:S:1:pos:R:3 pbc="T T T"
Nd 0.000 0.000 0.000
Sm -6.342 0.130 0.573
Sm -7.238 -4.000 -3.543
Zn -4.435 -2.812 -2.536
Zn -9.145 -1.058 -0.434
In -10.503 -2.784 -2.085
In -3.077 -1.086 -0.885
```

(2)
Compound: NdSmZn2In2
Source: Alexandria
Functional: GGA-PBE
Structure: optimized geometry

Calculated values
ΔH_f (0 K) ... -2.71 eV per formula unit
DOS at the Fermi energy ... 3.5 states/eV per cell
Electronic total energy ... -3.37 eV per atom

The structure in extended XYZ format:
```
6
Lattice="4.729 0.000 0.000 -2.365 4.096 0.000 0.000 0.000 7.536" Properties=species:S:1:pos:R:3 pbc="T T T"
Nd 0.000 0.000 0.000
Sm 0.000 0.000 3.768
Zn 0.000 2.730 1.998
Zn 2.365 1.365 5.538
In 0.000 2.730 5.605
In 2.365 1.365 1.931
```

(3)
Compound: Nd2SmZn2In2
Source: Alexandria
Functional: GGA-PBE
Structure: optimized geometry

Calculated values
ΔH_f (0 K) ... -2.13 eV per formula unit
DOS at the Fermi energy ... 3.8 states/eV per cell
Electronic total energy ... -3.49 eV per atom

The structure in extended XYZ format:
```
7
Lattice="4.757 0.000 0.000 2.379 4.120 0.000 2.379 1.373 9.411" Properties=species:S:1:pos:R:3 pbc="T T T"
Nd 2.379 1.373 5.810
Nd 7.136 4.120 3.601
Sm 0.000 0.000 0.000
Zn 4.757 2.747 1.789
Zn 4.757 2.747 7.622
In 7.136 4.120 7.506
In 2.379 1.373 1.905
```

(4)
Compound: Nd5In4Sn
Source: Alexandria
Functional: GGA-PBE
Structure: optimized geometry

Calculated values
ΔH_f (0 K) ... -5.22 eV per formula unit
DOS at the Fermi energy ... 6.0 states/eV per cell
Electronic total energy ... -4.40 eV per atom

The structure in extended XYZ format:
```
10
Lattice="3.717 0.000 0.000 0.000 3.717 0.000 0.000 0.000 21.064" Properties=species:S:1:pos:R:3 pbc="T T T"
Nd 1.858 1.858 2.105
Nd 1.858 1.858 6.328
Nd 1.858 1.858 10.532
Nd 1.858 1.858 14.735
Nd 1.858 1.858 18.959
In 0.000 0.000 4.247
In 0.000 0.000 8.435
In 0.000 0.000 12.629
In 0.000 0.000 16.816
Sn 0.000 0.000 0.000
```